[1]
A plane-wave DFT calculation with PBE-GGA was carried out for a relaxed structure of CsK3Ag3.

- Crystal system: trigonal
- Space group: R-3m (166)
- Raw total energy: -24.47 eV for the cell shown

Cell lengths 10.6520, 10.6520, 10.6520 Å; angles 46.59, 46.59, 46.59 degrees
Positions (direct):
Cs: 0.0748 0.0748 0.0748
Cs: 0.9252 0.9252 0.9252
K: 0.0958 0.5962 0.5962
K: 0.4038 0.4038 0.9042
K: 0.4038 0.9042 0.4038
K: 0.5962 0.0958 0.5962
K: 0.5962 0.5962 0.0958
K: 0.9042 0.4038 0.4038
Ag: 0.2166 0.2166 0.5667
Ag: 0.2166 0.5667 0.2166
Ag: 0.4333 0.7834 0.7834
Ag: 0.5667 0.2166 0.2166
Ag: 0.7834 0.4333 0.7834
Ag: 0.7834 0.7834 0.4333

***

[2]
A plane-wave DFT calculation with PBE-GGA was carried out for a relaxed structure of Cs3K2Ag.

- Crystal system: monoclinic
- Space group: C2/c (15)
- Raw total energy: -14.81 eV for the cell shown

Cell lengths 12.7609, 12.7609, 10.1500 Å; angles 91.32, 91.32, 34.96 degrees
Positions (direct):
Cs: 0.0031 0.9969 0.7500
Cs: 0.3868 0.3872 0.4922
Cs: 0.3872 0.3868 0.9922
Cs: 0.6128 0.6132 0.0078
Cs: 0.6132 0.6128 0.5078
Cs: 0.9969 0.0031 0.2500
K: 0.2027 0.2035 0.7925
K: 0.2035 0.2027 0.2925
K: 0.7965 0.7973 0.7075
K: 0.7973 0.7965 0.2075
Ag: 0.4958 0.5042 0.2500
Ag: 0.5042 0.4958 0.7500

***

[3]
A plane-wave DFT calculation with PBE-GGA was carried out for a relaxed structure of CsKAg3.

- Crystal system: orthorhombic
- Energy above the lowest structure with this stoichiometry: 0.000 eV/atom
- Space group: Pnma (62)

Cell lengths 5.5612, 11.9638, 11.0238 Å; angles 90.00, 90.00, 90.00 degrees
Positions (direct):
Cs: 0.0007 0.2500 0.0720
Cs: 0.4993 0.7500 0.5720
Cs: 0.5007 0.2500 0.4280
Cs: 0.9993 0.7500 0.9280
K: 0.0000 0.0000 0.5000
K: 0.0000 0.5000 0.5000
K: 0.5000 0.0000 0.0000
K: 0.5000 0.5000 0.0000
Ag: 0.0065 0.5433 0.2128
Ag: 0.0065 0.9567 0.2128
Ag: 0.2417 0.2500 0.7485
Ag: 0.2583 0.7500 0.2485
Ag: 0.4935 0.0433 0.7128
Ag: 0.4935 0.4567 0.7128
Ag: 0.5065 0.5433 0.2872
Ag: 0.5065 0.9567 0.2872
Ag: 0.7417 0.2500 0.7515
Ag: 0.7583 0.7500 0.2515
Ag: 0.9935 0.0433 0.7872
Ag: 0.9935 0.4567 0.7872

***

[4]
A plane-wave DFT calculation with PBE-GGA was carried out for a relaxed structure of CsK8Ag2.

- Crystal system: monoclinic
- Space group: C2/m (12)
- Raw total energy: -14.81 eV for the cell shown

Cell lengths 10.4034, 10.4034, 6.8903 Å; angles 109.24, 109.24, 80.77 degrees
Positions (direct):
Cs: 0.0000 0.0000 0.0000
K: 0.1523 0.4917 0.3220
K: 0.1946 0.1946 0.6951
K: 0.3194 0.6806 0.0000
K: 0.4917 0.1523 0.3220
K: 0.5083 0.8477 0.6780
K: 0.6806 0.3194 0.0000
K: 0.8054 0.8054 0.3049
K: 0.8477 0.5083 0.6780
Ag: 0.1579 0.8421 0.5000
Ag: 0.8421 0.1579 0.5000

***

[5]
A plane-wave DFT calculation with PBE-GGA was carried out for a relaxed structure of Cs5KAg.

- Crystal system: monoclinic
- Space group: C2/c (15)
- Raw total energy: -15.94 eV for the cell shown

Cell lengths 9.9490, 9.9490, 15.9537 Å; angles 110.47, 110.47, 62.34 degrees
Positions (direct):
Cs: 0.0082 0.6060 0.3852
Cs: 0.0173 0.9827 0.7500
Cs: 0.1684 0.5687 0.9517
Cs: 0.3940 0.9918 0.1148
Cs: 0.4313 0.8316 0.5483
Cs: 0.5687 0.1684 0.4517
Cs: 0.6060 0.0082 0.8852
Cs: 0.8316 0.4313 0.0483
Cs: 0.9827 0.0173 0.2500
Cs: 0.9918 0.3940 0.6148
K: 0.4933 0.5067 0.2500
K: 0.5067 0.4933 0.7500
Ag: 0.0000 0.0000 0.0000
Ag: 0.0000 0.0000 0.5000

***

[6]
A plane-wave DFT calculation with PBE-GGA was carried out for a relaxed structure of Cs2KAg2.

- Crystal system: tetragonal
- Energy above the lowest structure with this stoichiometry: 0.070 eV/atom
- Space group: P4/mbm (127)

Cell lengths 10.7035, 10.7035, 4.2783 Å; angles 90.00, 90.00, 90.00 degrees
Positions (direct):
Cs: 0.1336 0.3664 0.0000
Cs: 0.3664 0.8664 0.0000
Cs: 0.6336 0.1336 0.0000
Cs: 0.8664 0.6336 0.0000
K: 0.0000 0.0000 0.0000
K: 0.5000 0.5000 0.0000
Ag: 0.1661 0.6661 0.5000
Ag: 0.3339 0.1661 0.5000
Ag: 0.6661 0.8339 0.5000
Ag: 0.8339 0.3339 0.5000

***

[7]
A plane-wave DFT calculation with PBE-GGA was carried out for a relaxed structure of Cs6K10Ag.

- Crystal system: trigonal
- Space group: P-31m (162)
- Raw total energy: -18.09 eV for the cell shown

Cell lengths 13.6356, 13.6356, 8.7766 Å; angles 90.00, 90.00, 120.00 degrees
Positions (direct):
Cs: 0.0000 0.3957 0.2499
Cs: 0.0000 0.6043 0.7501
Cs: 0.3957 0.0000 0.2499
Cs: 0.3957 0.3957 0.7501
Cs: 0.6043 0.0000 0.7501
Cs: 0.6043 0.6043 0.2499
K: 0.0000 0.2041 0.7462
K: 0.0000 0.7959 0.2538
K: 0.2041 0.0000 0.7462
K: 0.2041 0.2041 0.2538
K: 0.3333 0.6667 0.0000
K: 0.3333 0.6667 0.5000
K: 0.6667 0.3333 0.0000
K: 0.6667 0.3333 0.5000
K: 0.7959 0.0000 0.2538
K: 0.7959 0.7959 0.7462
Ag: 0.0000 0.0000 0.5000

***

[8]
A plane-wave DFT calculation with PBE-GGA was carried out for a relaxed structure of Cs6K2Ag.

- Crystal system: monoclinic
- Space group: C2/m (12)
- Raw total energy: -10.01 eV for the cell shown

Cell lengths 10.5367, 10.5367, 10.5401 Å; angles 120.01, 120.01, 60.01 degrees
Positions (direct):
Cs: 0.2485 0.7510 0.7510
Cs: 0.2489 0.2489 0.2482
Cs: 0.2490 0.7515 0.2490
Cs: 0.7510 0.2485 0.7510
Cs: 0.7511 0.7511 0.7518
Cs: 0.7515 0.2490 0.2490
K: 0.2500 0.2500 0.7497
K: 0.7500 0.7500 0.2503
Ag: 0.0000 0.0000 0.0000

***

Number 1: volume 41.61 Å³/atom. Number 2: volume 78.90 Å³/atom. Number 3: volume 36.67 Å³/atom. Number 4: volume 60.33 Å³/atom. Number 5: volume 91.18 Å³/atom. Number 6: volume 49.01 Å³/atom. Number 7: volume 83.13 Å³/atom. Number 8: volume 91.93 Å³/atom.